# Rh2PbI PBE relaxed
data_Rh2PbI
_chemical_formula_sum 'Rh8 Pb4 I4'
_cell_length_a 4.8812
_cell_length_b 4.8812
_cell_length_c 16.0992
_cell_angle_alpha 90.00
_cell_angle_beta 90.00
_cell_angle_gamma 90.00
_space_group_name_H-M_alt 'I -4 2 d'
_space_group_IT_number 122
_space_group_name_Hall 'I -4 2bw'
loop_
_atom_site_label
_atom_site_type_symbol
_atom_site_fract_x
_atom_site_fract_y
_atom_site_fract_z
Rh1 Rh 0.2049 0.2500 0.1250
Pb1 Pb 0.0000 0.0000 0.5000
I1 I 0.0000 0.0000 0.0000
# Uncorrected formation energy: 0.35 eV/atom
# Relative energy among the computed polymorphs: 0 meV/atom